Density functional theory data (PBE) for an optimized crystal structure of K2LaPuSe4.

Calculated values
E_form (uncorrected)	-1.634	eV per atom
uncorrected energy	-48.5	eV/f.u.
crystal system	monoclinic
size of the total moment	5.0	Bohr magnetons per cell

Lattice parameters (Å, degrees): 4.372 7.589 8.054 108.35 90.00 90.00
Sites, in units of the cell vectors:
K 0.500 0.000 0.500
K 0.000 0.500 0.500
La 0.000 0.000 0.000
Pu 0.500 0.500 0.000
Se 0.500 0.243 0.211
Se 0.500 0.757 0.789
Se 0.000 0.273 0.795
Se 0.000 0.727 0.205